Record 1
A relaxed ZnCu2Cl crystal. Source: Alexandria via LeMat-Bulk, functional GGA-PBE.

a = 4.529 Å, b = 4.529 Å, c = 7.512 Å
α = 53.03°, β = 53.03°, γ = 39.17°
Atoms (fractional coordinates):
Zn 0.750 0.750 0.750
Cu 0.945 0.945 0.910
Cu 0.555 0.555 0.590
Cl 0.250 0.250 0.250

The density of states at the Fermi level is 1.3 states/eV per cell. The calculation puts the energy at -0.10534 Ha/atom. As for the energy relative to the lowest polymorph listed for this composition: 13 meV per atom.

***

Record 2
A relaxed ZnCu2Cl crystal. Source: Alexandria via LeMat-Bulk, functional GGA-PBE.

a = 6.238 Å, b = 6.238 Å, c = 6.238 Å
α = 147.94°, β = 147.94°, γ = 45.98°
Atoms (fractional coordinates):
Zn 0.500 0.500 0.000
Cu 0.000 0.000 0.000
Cu 0.250 0.750 0.500
Cl 0.750 0.250 0.500

The density of states at the Fermi level is 0.8 states/eV per cell. The calculation puts the energy at -0.09810 Ha/atom. As for the energy relative to the lowest polymorph listed for this composition: 210 meV per atom.

***

Record 3
A relaxed ZnCu2Cl crystal. Source: Alexandria via LeMat-Bulk, functional GGA-PBE.

a = 4.512 Å, b = 4.512 Å, c = 4.512 Å
α = 60.00°, β = 60.00°, γ = 60.00°
Atoms (fractional coordinates):
Zn 0.750 0.750 0.750
Cu 0.000 0.000 0.000
Cu 0.250 0.250 0.250
Cl 0.500 0.500 0.500

The density of states at the Fermi level is 2.9 states/eV per cell. The calculation puts the energy at -0.08621 Ha/atom. As for the energy relative to the lowest polymorph listed for this composition: 534 meV per atom.

***

Record 4
A relaxed ZnCuCl crystal. Source: Alexandria via LeMat-Bulk, functional GGA-PBE.

a = 4.383 Å, b = 4.383 Å, c = 4.383 Å
α = 60.00°, β = 60.00°, γ = 60.00°
Atoms (fractional coordinates):
Zn 0.000 0.000 0.000
Cu 0.750 0.750 0.750
Cl 0.500 0.500 0.500

The density of states at the Fermi level is 0.2 states/eV per cell. The calculation puts the energy at -0.08222 Ha/atom. As for the energy relative to the lowest polymorph listed for this composition: 338 meV per atom.

***

Record 5
A relaxed Zn5Cu3Cl12 crystal. Source: Alexandria via LeMat-Bulk, functional GGA-PBE.

a = 13.281 Å, b = 13.281 Å, c = 13.281 Å
α = 109.47°, β = 109.47°, γ = 109.47°
Atoms (fractional coordinates):
Cu 0.750 0.375 0.125
Cu 0.875 0.750 0.125
Cu 0.375 0.750 0.625
Cu 0.250 0.125 0.375
Cu 0.875 0.125 0.250
Cu 0.375 0.625 0.250
Cu 0.625 0.375 0.750
Cu 0.125 0.875 0.750
Cu 0.750 0.875 0.625
Cu 0.625 0.250 0.375
Cu 0.125 0.250 0.875
Cu 0.250 0.625 0.875
Zn 0.125 0.375 0.250
Zn 0.000 0.500 0.000
Zn 0.000 0.000 0.000
Zn 0.375 0.250 0.125
Zn 0.500 0.000 0.500
Zn 0.500 0.500 0.000
Zn 0.125 0.750 0.375
Zn 0.750 0.125 0.875
Zn 0.750 0.625 0.375
Zn 0.375 0.125 0.750
Zn 0.625 0.875 0.250
Zn 0.500 0.500 0.500
Zn 0.500 0.000 0.000
Zn 0.000 0.000 0.500
Zn 0.250 0.375 0.625
Zn 0.250 0.875 0.125
Zn 0.000 0.500 0.500
Zn 0.875 0.250 0.625
Zn 0.625 0.750 0.875
Zn 0.875 0.625 0.750
Cl 0.709 0.128 0.032
Cl 0.322 0.532 0.404
Cl 0.968 0.372 0.291
Cl 0.532 0.209 0.128
Cl 0.581 0.709 0.678
Cl 0.968 0.596 0.178
Cl 0.322 0.791 0.419
Cl 0.096 0.919 0.128
Cl 0.596 0.968 0.678
Cl 0.709 0.581 0.178
Cl 0.791 0.468 0.372
Cl 0.822 0.904 0.032
Cl 0.128 0.709 0.532
Cl 0.372 0.404 0.081
Cl 0.081 0.904 0.372
Cl 0.419 0.128 0.596
Cl 0.081 0.178 0.209
Cl 0.468 0.678 0.096
Cl 0.822 0.919 0.291
Cl 0.128 0.419 0.096
Cl 0.372 0.968 0.791
Cl 0.596 0.628 0.419
Cl 0.904 0.822 0.532
Cl 0.791 0.322 0.919
Cl 0.404 0.372 0.581
Cl 0.096 0.178 0.468
Cl 0.209 0.678 0.081
Cl 0.178 0.081 0.709
Cl 0.628 0.032 0.209
Cl 0.872 0.581 0.904
Cl 0.532 0.322 0.904
Cl 0.581 0.872 0.404
Cl 0.919 0.822 0.791
Cl 0.919 0.096 0.628
Cl 0.872 0.291 0.468
Cl 0.178 0.096 0.968
Cl 0.628 0.596 0.919
Cl 0.404 0.032 0.322
Cl 0.291 0.419 0.822
Cl 0.209 0.532 0.628
Cl 0.904 0.081 0.872
Cl 0.678 0.209 0.581
Cl 0.468 0.791 0.872
Cl 0.032 0.404 0.822
Cl 0.419 0.291 0.322
Cl 0.032 0.628 0.709
Cl 0.678 0.468 0.596
Cl 0.291 0.872 0.968

The density of states at the Fermi level is 6.7 states/eV per cell. The calculation puts the energy at -0.09812 Ha/atom.

***

Record 6
A relaxed ZnCu2Cl crystal. Source: Alexandria via LeMat-Bulk, functional GGA-PBE.

a = 3.145 Å, b = 3.140 Å, c = 6.663 Å
α = 90.00°, β = 90.00°, γ = 90.00°
Atoms (fractional coordinates):
Zn 0.000 0.000 0.411
Cu 0.000 0.000 0.025
Cu 0.500 0.500 0.238
Cl 0.500 0.500 0.826

The density of states at the Fermi level is 1.2 states/eV per cell. The calculation puts the energy at -0.10247 Ha/atom. As for the energy relative to the lowest polymorph listed for this composition: 91 meV per atom.

***

Record 7
A relaxed Zn2Cu2Cl7 crystal. Source: Alexandria via LeMat-Bulk, functional GGA-PBE.

a = 6.797 Å, b = 6.797 Å, c = 12.973 Å
α = 107.02°, β = 107.02°, γ = 93.15°
Atoms (fractional coordinates):
Zn 0.185 0.190 0.201
Zn 0.190 0.185 0.701
Zn 0.810 0.815 0.299
Zn 0.815 0.810 0.799
Cu 0.390 0.733 0.477
Cu 0.267 0.610 0.023
Cu 0.733 0.390 0.977
Cu 0.610 0.267 0.523
Cl 0.026 0.679 0.416
Cl 0.075 0.448 0.117
Cl 0.446 0.401 0.367
Cl 0.905 0.095 0.250
Cl 0.679 0.026 0.916
Cl 0.448 0.075 0.617
Cl 0.401 0.446 0.867
Cl 0.599 0.554 0.133
Cl 0.552 0.925 0.383
Cl 0.321 0.974 0.084
Cl 0.095 0.905 0.750
Cl 0.554 0.599 0.633
Cl 0.925 0.552 0.883
Cl 0.974 0.321 0.584

The density of states at the Fermi level is 9.0 states/eV per cell. The calculation puts the energy at -0.10825 Ha/atom.

***

Record 8
A relaxed ZnCu2Cl crystal. Source: Alexandria via LeMat-Bulk, functional GGA-PBE.

a = 4.366 Å, b = 4.366 Å, c = 6.760 Å
α = 115.59°, β = 115.59°, γ = 43.83°
Atoms (fractional coordinates):
Zn 0.376 0.376 0.605
Cu 0.074 0.074 0.896
Cu 0.732 0.732 0.761
Cl 0.318 0.318 0.239

The density of states at the Fermi level is 0.4 states/eV per cell. The calculation puts the energy at -0.10562 Ha/atom. As for the energy relative to the lowest polymorph listed for this composition: 5 meV per atom.

***

Record 9
A relaxed ZnCu2Cl crystal. Source: Alexandria via LeMat-Bulk, functional GGA-PBE.

a = 3.013 Å, b = 5.741 Å, c = 3.890 Å
α = 90.00°, β = 90.00°, γ = 90.00°
Atoms (fractional coordinates):
Zn 0.500 0.000 0.500
Cu 0.000 0.000 0.000
Cu 0.500 0.500 0.000
Cl 0.000 0.500 0.500

The density of states at the Fermi level is 1.0 states/eV per cell. The calculation puts the energy at -0.09833 Ha/atom. As for the energy relative to the lowest polymorph listed for this composition: 204 meV per atom.

***

Record 10
A relaxed ZnCu2Cl crystal. Source: Alexandria via LeMat-Bulk, functional GGA-PBE.

a = 7.796 Å, b = 7.796 Å, c = 7.796 Å
α = 22.66°, β = 22.66°, γ = 22.66°
Atoms (fractional coordinates):
Zn 0.504 0.504 0.504
Cu 0.998 0.998 0.998
Cu 0.252 0.252 0.252
Cl 0.746 0.746 0.746

The density of states at the Fermi level is 0.7 states/eV per cell. The calculation puts the energy at -0.10243 Ha/atom. As for the energy relative to the lowest polymorph listed for this composition: 92 meV per atom.

***

Record 11
A relaxed ZnCu2Cl crystal. Source: Alexandria via LeMat-Bulk, functional GGA-PBE.

a = 5.162 Å, b = 5.162 Å, c = 5.162 Å
α = 147.65°, β = 113.40°, γ = 76.00°
Atoms (fractional coordinates):
Zn 0.750 0.250 0.500
Cu 0.003 0.003 0.000
Cu 0.497 0.497 0.000
Cl 0.250 0.750 0.500

The density of states at the Fermi level is 0.9 states/eV per cell. The calculation puts the energy at -0.09908 Ha/atom. As for the energy relative to the lowest polymorph listed for this composition: 183 meV per atom.

***

Record 12
A relaxed ZnCu2Cl crystal. Source: Alexandria via LeMat-Bulk, functional GGA-PBE.

a = 3.189 Å, b = 3.356 Å, c = 6.160 Å
α = 89.97°, β = 90.00°, γ = 90.00°
Atoms (fractional coordinates):
Zn 0.500 0.250 0.250
Cu 0.000 0.750 0.057
Cu 0.000 0.750 0.443
Cl 0.500 0.750 0.750

The density of states at the Fermi level is 0.9 states/eV per cell. The calculation puts the energy at -0.10582 Ha/atom. As for the energy relative to the lowest polymorph listed for this composition: 0 meV per atom.